# 1
Mg2MnRu: optimized geometry, GGA-PBE.

Structure (extended XYZ):
```
8
Lattice="3.187 0.000 0.000 0.000 4.597 0.000 0.000 0.000 8.978" Properties=species:S:1:pos:R:3 pbc="T T T"
Mg 0.000 0.000 2.144
Mg 0.000 0.000 6.834
Mg 1.593 2.299 2.144
Mg 1.593 2.299 6.834
Mn 0.000 2.299 4.489
Mn 1.593 0.000 4.489
Ru 0.000 2.299 0.000
Ru 1.593 0.000 0.000
```

Calculated values
E above lowest polymorph: 0.876 eV/f.u.
SG: Cmmm
total magnetic moment: 8.002 Bohr magnetons per cell
energy relative to the elements: 0.27 eV/atom


# 2
MgMn2Ru: optimized geometry, GGA-PBE.

Structure (extended XYZ):
```
4
Lattice="4.707 0.000 0.000 0.000 2.781 0.000 -1.609 0.000 4.482" Properties=species:S:1:pos:R:3 pbc="T T T"
Mg 0.000 0.000 0.000
Mn 1.549 0.000 2.241
Mn 2.353 1.390 0.000
Ru -0.805 1.390 2.241
```

Calculated values
SG: P2/m
total magnetic moment: 6.934 Bohr magnetons per cell
energy relative to the elements: 0.29 eV/atom


# 3
MgMn2Ru: optimized geometry, GGA-PBE.

Structure (extended XYZ):
```
8
Lattice="4.257 0.000 0.000 0.000 4.308 0.000 0.000 0.000 6.628" Properties=species:S:1:pos:R:3 pbc="T T T"
Mg 0.000 0.000 0.000
Mg 2.128 2.154 0.000
Mn 0.000 2.154 1.863
Mn 0.000 2.154 4.765
Mn 2.128 0.000 1.863
Mn 2.128 0.000 4.765
Ru 0.000 0.000 3.314
Ru 2.128 2.154 3.314
```

Calculated values
SG: Cmmm
total magnetic moment: 13.627 Bohr magnetons per cell
energy relative to the elements: 0.19 eV/atom


# 4
Mg2MnRu: optimized geometry, GGA-PBE.

Structure (extended XYZ):
```
16
Lattice="6.346 0.000 0.000 0.000 6.346 0.000 0.000 0.000 6.346" Properties=species:S:1:pos:R:3 pbc="T T T"
Mg 1.586 1.586 1.586
Mg 1.586 1.586 4.759
Mg 1.586 4.759 1.586
Mg 1.586 4.759 4.759
Mg 4.759 1.586 1.586
Mg 4.759 1.586 4.759
Mg 4.759 4.759 1.586
Mg 4.759 4.759 4.759
Mn 0.000 0.000 0.000
Mn 0.000 3.173 3.173
Mn 3.173 0.000 3.173
Mn 3.173 3.173 0.000
Ru 0.000 0.000 3.173
Ru 0.000 3.173 0.000
Ru 3.173 0.000 0.000
Ru 3.173 3.173 3.173
```

Calculated values
E above lowest polymorph: 0.381 eV/f.u.
SG: Fm-3m
total magnetic moment: 16.875 Bohr magnetons per cell
energy relative to the elements: 0.15 eV/atom


# 5
Mg2MnRu: optimized geometry, GGA-PBE.

Structure (extended XYZ):
```
8
Lattice="3.160 0.000 0.000 0.000 4.554 0.000 0.000 0.000 9.105" Properties=species:S:1:pos:R:3 pbc="T T T"
Mg 0.000 0.000 0.000
Mg 0.000 2.277 2.053
Mg 1.580 0.000 6.605
Mg 1.580 2.277 4.552
Mn 0.000 2.277 6.980
Mn 1.580 0.000 2.427
Ru 0.000 0.000 4.316
Ru 1.580 2.277 8.868
```

Calculated values
E above lowest polymorph: 0.216 eV/f.u.
SG: Imm2
total magnetic moment: 6.864 Bohr magnetons per cell
energy relative to the elements: 0.10 eV/atom


# 6
Mg2MnRu: optimized geometry, GGA-PBE.

Structure (extended XYZ):
```
16
Lattice="7.207 0.000 0.000 0.000 7.207 0.000 0.000 0.000 5.452" Properties=species:S:1:pos:R:3 pbc="T T T"
Mg 1.731 1.802 0.681
Mg 1.802 5.335 2.044
Mg 1.802 5.476 4.770
Mg 1.872 1.802 3.407
Mg 5.335 5.405 3.407
Mg 5.405 1.731 4.770
Mg 5.405 1.872 2.044
Mg 5.476 5.405 0.681
Mn 0.000 0.000 2.726
Mn 0.000 3.604 4.089
Mn 3.604 0.000 1.363
Mn 3.604 3.604 0.000
Ru 0.000 0.000 0.000
Ru 0.000 3.604 1.363
Ru 3.604 0.000 4.089
Ru 3.604 3.604 2.726
```

Calculated values
E above lowest polymorph: 1.955 eV/f.u.
SG: I-42d
total magnetic moment: 19.455 Bohr magnetons per cell
energy relative to the elements: 0.54 eV/atom


# 7
MgMnRu3: optimized geometry, GGA-PBE.

Structure (extended XYZ):
```
5
Lattice="4.424 0.000 0.000 0.000 4.424 0.000 0.000 0.000 4.424" Properties=species:S:1:pos:R:3 pbc="T T T"
Mg 0.000 0.000 0.000
Mn 2.212 2.212 2.212
Ru 0.000 2.212 2.212
Ru 2.212 0.000 2.212
Ru 2.212 2.212 0.000
```

Calculated values
E above lowest polymorph: 0.000 eV/f.u.
SG: Pm-3m
total magnetic moment: 0.000 Bohr magnetons per cell
energy relative to the elements: 0.93 eV/atom


# 8
MgMn2Ru: optimized geometry, GGA-PBE.

Structure (extended XYZ):
```
4
Lattice="2.804 0.000 0.000 0.000 3.716 0.000 0.000 0.000 5.538" Properties=species:S:1:pos:R:3 pbc="T T T"
Mg 0.000 0.000 0.000
Mn 1.402 1.858 1.547
Mn 1.402 1.858 3.992
Ru 0.000 0.000 2.769
```

Calculated values
SG: Pmmm
total magnetic moment: 5.107 Bohr magnetons per cell
energy relative to the elements: 0.24 eV/atom


# 9
MgMn2Ru2: optimized geometry, GGA-PBE.

Structure (extended XYZ):
```
10
Lattice="7.181 0.000 0.000 0.000 7.181 0.000 0.000 0.000 2.693" Properties=species:S:1:pos:R:3 pbc="T T T"
Mg 0.000 0.000 0.000
Mg 3.590 3.590 0.000
Mn 0.833 2.757 0.000
Mn 2.757 6.347 0.000
Mn 4.424 0.833 0.000
Mn 6.347 4.424 0.000
Ru 1.224 4.815 1.346
Ru 2.366 1.224 1.346
Ru 4.815 5.957 1.346
Ru 5.957 2.366 1.346
```

Calculated values
E above lowest polymorph: 0.000 eV/f.u.
SG: P4/mbm
total magnetic moment: 1.456 Bohr magnetons per cell
energy relative to the elements: 0.13 eV/atom


# 10
MgMn2Ru: optimized geometry, GGA-PBE.

Structure (extended XYZ):
```
16
Lattice="6.017 0.000 0.000 0.000 6.017 0.000 0.000 0.000 6.017" Properties=species:S:1:pos:R:3 pbc="T T T"
Mg 0.000 0.000 0.000
Mg 0.000 3.009 3.009
Mg 3.009 0.000 3.009
Mg 3.009 3.009 0.000
Mn 0.000 0.000 3.009
Mn 0.000 3.009 0.000
Mn 1.504 1.504 1.504
Mn 1.504 4.513 4.513
Mn 3.009 0.000 0.000
Mn 3.009 3.009 3.009
Mn 4.513 1.504 4.513
Mn 4.513 4.513 1.504
Ru 1.504 1.504 4.513
Ru 1.504 4.513 1.504
Ru 4.513 1.504 1.504
Ru 4.513 4.513 4.513
```

Calculated values
SG: F-43m
total magnetic moment: 15.892 Bohr magnetons per cell
energy relative to the elements: 0.24 eV/atom


# 11
MgMn2Ru: optimized geometry, GGA-PBE.

Structure (extended XYZ):
```
4
Lattice="3.249 0.000 0.000 0.000 4.152 0.000 0.000 0.000 4.155" Properties=species:S:1:pos:R:3 pbc="T T T"
Mg 0.000 0.000 0.000
Mn 0.000 2.076 2.078
Mn 1.624 0.000 2.078
Ru 1.624 2.076 0.000
```

Calculated values
SG: Pmmm
total magnetic moment: 5.694 Bohr magnetons per cell
energy relative to the elements: 0.27 eV/atom


# 12
MgMn2Ru2: optimized geometry, GGA-PBE.

Structure (extended XYZ):
```
10
Lattice="3.809 0.000 0.000 0.000 3.809 0.000 0.000 0.000 10.539" Properties=species:S:1:pos:R:3 pbc="T T T"
Mg 0.000 0.000 0.000
Mg 1.904 1.904 5.270
Mn 0.000 1.904 2.635
Mn 0.000 1.904 7.904
Mn 1.904 0.000 2.635
Mn 1.904 0.000 7.904
Ru 0.000 0.000 4.056
Ru 0.000 0.000 6.483
Ru 1.904 1.904 1.214
Ru 1.904 1.904 9.325
```

Calculated values
E above lowest polymorph: 0.934 eV/f.u.
SG: I4/mmm
total magnetic moment: 0.000 Bohr magnetons per cell
energy relative to the elements: 0.31 eV/atom


For reference, D(E_F) by record: 1.02, 1.06, 1.06, 0.88, 0.73, 0.42, 1.25, 1.24, 1.14, 0.63, 1.33, 1.26 states/eV/atom.